! Mg2ZnBr | Alexandria | PBEsol | optimized geometry; values from VASP
&SYSTEM
  ibrav = 0, nat = 4, ntyp = 3
/
ATOMIC_SPECIES
Mg 24.30 Mg.upf
Zn 65.41 Zn.upf
Br 79.90 Br.upf
CELL_PARAMETERS angstrom
3.390 0.000 0.000
0.000 3.283 0.000
-0.014 0.000 7.740
ATOMIC_POSITIONS angstrom
Mg 0.001 0.000 1.645
Mg 3.375 0.000 6.095
Zn 1.695 1.642 0.000
Br -0.007 1.642 3.870
! - Uncorrected formation energy: -383.1 meV/atom
! - Energy above the most stable polymorph in this dataset: 0 meV per atom


! MgZnBr2 | Alexandria | PBEsol | optimized geometry; values from VASP
&SYSTEM
  ibrav = 0, nat = 4, ntyp = 3
/
ATOMIC_SPECIES
Mg 24.30 Mg.upf
Zn 65.41 Zn.upf
Br 79.90 Br.upf
CELL_PARAMETERS angstrom
0.000 3.610 3.610
3.610 0.000 3.610
3.610 3.610 0.000
ATOMIC_POSITIONS angstrom
Mg 0.000 0.000 0.000
Zn 5.416 5.416 5.416
Br 1.805 1.805 1.805
Br 3.610 3.610 3.610
! - Uncorrected formation energy: -113.4 meV/atom